Record 1
VASP calculation (PBE) on a relaxed structure of BaCo2Ni.

Computed properties:
The formation energy from the elements comes out at 4.11 eV/f.u. Its total magnetic moment is 3.0 μB per cell. For the energy, the calculation gives -4.450 eV/atom. The calculation puts the relative energy among the computed polymorphs at 0.8724 eV per atom. For the volume, the calculation gives 69.8 Å³/cell.

Lattice parameters (Å, degrees): 4.9281 4.9281 3.1092 90.00 90.00 112.44
With the nearest neighbours (Å) after each atom.
Fractional coordinates of all 4 atoms:
Ba 0.0000 0.5000 0.5000  2 Ni 2.74, 8 Co 2.91
Co 0.0000 0.0000 0.0000  2 Co 2.74, 4 Ba 2.91, 4 Ni 2.91
Co 0.5000 0.5000 0.0000  2 Co 2.74, 4 Ni 2.91, 4 Ba 2.91
Ni 0.5000 0.0000 0.5000  2 Ba 2.74, 8 Co 2.91


Record 2
VASP calculation (PBE) on a relaxed structure of Ag5BiPd6.

Computed properties:
The formation energy from the elements comes out at -1.29 eV/f.u. Its total magnetic moment is 0.0 μB per cell. For the energy, the calculation gives -4.216 eV/atom. The calculation puts the relative energy among the computed polymorphs at 0.0000 eV per atom. For the volume, the calculation gives 206.1 Å³/cell.

Lattice parameters (Å, degrees): 4.3006 7.7136 7.7136 111.88 106.15 106.15
With the nearest neighbours (Å) after each atom.
Fractional coordinates of all 12 atoms:
Pd 0.2431 0.0787 0.4087  7 Ag 2.76-2.89, 1 Bi 2.79, 4 Pd 3.01-3.06
Pd 0.7569 0.5913 0.9213  7 Ag 2.76-2.89, 1 Bi 2.79, 4 Pd 3.01-3.06
Pd 0.7406 0.2416 0.2416  2 Bi 2.81, 6 Ag 2.84-2.93, 4 Pd 3.01
Pd 0.2594 0.7584 0.7584  2 Bi 2.81, 6 Ag 2.84-2.93, 4 Pd 3.01
Pd 0.2431 0.4087 0.0787  7 Ag 2.76-2.89, 1 Bi 2.79, 4 Pd 3.01-3.06
Pd 0.7569 0.9213 0.5913  7 Ag 2.76-2.89, 1 Bi 2.79, 4 Pd 3.01-3.06
Bi 0.0000 0.0000 0.0000  8 Pd 2.79-2.81
Ag 0.5000 0.1802 0.8198  8 Pd 2.76-2.93, 2 Ag 2.94
Ag 0.0000 0.3373 0.6627  8 Pd 2.84-2.89, 4 Ag 2.94-2.99
Ag 0.5000 0.5000 0.5000  8 Pd 2.85-2.90, 4 Ag 2.99
Ag 0.0000 0.6627 0.3373  8 Pd 2.84-2.89, 4 Ag 2.94-2.99
Ag 0.5000 0.8198 0.1802  8 Pd 2.76-2.93, 2 Ag 2.94


Record 3
VASP calculation (PBE) on a relaxed structure of Ce4FeSb.

Computed properties:
For the energy relative to the elements, uncorrected, the calculation gives -0.33 eV/atom. Its total magnetic moment is 4.6 μB per cell. For the energy, the calculation gives -6.382 eV/atom. For the volume, the calculation gives 298.9 Å³/cell.

Lattice parameters (Å, degrees): 5.6799 5.9313 10.5387 117.87 105.63 90.00
With the nearest neighbours (Å) after each atom.
Fractional coordinates of all 12 atoms:
Ce 0.6668 0.1181 0.8340  1 Ce 2.95, 1 Fe 3.11, 3 Sb 3.20-3.28
Ce 0.8328 0.3819 0.1660  1 Ce 2.95, 1 Fe 3.11, 3 Sb 3.20-3.28
Ce 0.3332 0.8819 0.1660  1 Ce 2.95, 1 Fe 3.11, 3 Sb 3.20-3.28
Ce 0.1672 0.6181 0.8340  1 Ce 2.95, 1 Fe 3.11, 3 Sb 3.20-3.28
Ce 0.0600 0.9446 0.6218  1 Fe 2.31
Ce 0.4382 0.5554 0.3782  1 Fe 2.31
Ce 0.9400 0.0554 0.3782  1 Fe 2.31
Ce 0.5618 0.4446 0.6218  1 Fe 2.31
Fe 0.5000 0.0000 0.5000  2 Ce 2.31
Fe 0.0000 0.5000 0.5000  2 Ce 2.31
Sb 0.7501 0.7500 0.0000  10 Ce 3.20-3.36
Sb 0.2499 0.2500 0.0000  10 Ce 3.20-3.36


Record 4
VASP calculation (PBE) on a relaxed structure of TeIrRhN2.

Computed properties:
For the energy relative to the elements, uncorrected, the calculation gives 0.89 eV/atom. Its total magnetic moment is 0.4 μB per cell. For the energy, the calculation gives -6.310 eV/atom. The calculation puts the relative energy among the computed polymorphs at 0.0000 eV per atom. For the volume, the calculation gives 88.6 Å³/cell.

Lattice parameters (Å, degrees): 3.7465 3.7465 6.3106 90.00 90.00 90.00
With the nearest neighbours (Å) after each atom.
Fractional coordinates of all 5 atoms:
Rh 0.5000 0.5000 0.5000  4 Te 2.65
Ir 0.0000 0.0000 0.0000  4 N 1.87
Te 0.0000 0.0000 0.5000  4 Rh 2.65
N 0.0000 0.5000 0.0000  2 Ir 1.87
N 0.5000 0.0000 0.0000  2 Ir 1.87